# 1
VASP calculation (PBE) on Nd4Al2C after structural relaxation.

Properties
Mass density   5.390 g cm⁻³
Magnetization   0.0 Bohr magnetons per cell
Energy of formation from the pure elements   -0.135 eV per atom
Crystal system   tetragonal
E   -5.246 eV per atom

POSCAR file:
```
Nd4Al2C
1.0
5.160 0.000 0.000
0.000 5.160 0.000
-2.580 -2.580 7.440
Nd Al C
4 2 1
direct
0.500 0.000 0.000
0.000 0.500 0.000
0.830 0.830 0.660
0.170 0.170 0.340
0.622 0.622 0.244
0.378 0.378 0.756
0.000 0.000 0.000
```

# 2
VASP calculation (PBE) on NdAlC after structural relaxation.

Properties
Mass density   5.068 g cm⁻³
Magnetization   0.0 Bohr magnetons per cell
Energy of formation from the pure elements   0.057 eV per atom
Crystal system   orthorhombic
E   -5.855 eV per atom

POSCAR file:
```
NdAlC
1.0
-3.349 3.420 -0.477
0.240 -0.515 -5.373
-3.434 -2.952 2.947
C Al Nd
2 2 2
direct
0.250 0.173 0.827
0.750 0.827 0.173
0.000 0.000 0.000
0.500 0.000 0.000
0.250 0.692 0.308
0.750 0.308 0.692
```

# 3
VASP calculation (PBE) on NdSm2AlC after structural relaxation.

Properties
Mass density   6.267 g cm⁻³
Magnetization   0.0 Bohr magnetons per cell
Energy of formation from the pure elements   -0.234 eV per atom
Crystal system   tetragonal
E   -5.668 eV per atom

POSCAR file:
```
NdSm2AlC
1.0
5.088 0.000 0.000
0.000 5.020 0.000
0.000 0.000 5.020
Nd C Sm Al
1 1 2 1
direct
0.500 0.000 0.000
0.000 0.000 0.000
0.000 0.000 0.500
0.000 0.500 0.000
0.500 0.500 0.500
```

# 4
VASP calculation (PBE) on Tb2NdAlC after structural relaxation.

Properties
Mass density   6.751 g cm⁻³
Magnetization   0.0 Bohr magnetons per cell
Energy of formation from the pure elements   -0.295 eV per atom
Crystal system   tetragonal
E   -5.694 eV per atom

POSCAR file:
```
Tb2NdAlC
1.0
-1.010 -1.970 4.579
1.892 -4.312 -1.437
4.438 1.418 1.589
C Tb Nd Al
1 2 1 1
direct
0.000 0.000 0.000
0.000 0.500 0.000
0.000 0.000 0.500
0.500 0.000 0.000
0.500 0.500 0.500
```

# 5
VASP calculation (PBE) on NdAl2Tc2C after structural relaxation.

Properties
Mass density   6.810 g cm⁻³
Magnetization   0.0 Bohr magnetons per cell
Energy of formation from the pure elements   -0.373 eV per atom
Crystal system   tetragonal
E   -7.408 eV per atom

POSCAR file:
```
NdAl2Tc2C
1.0
4.193 0.000 0.000
0.000 4.193 0.000
0.000 0.000 5.632
Nd Tc Al C
1 2 2 1
direct
0.000 0.000 0.500
0.500 0.000 0.000
0.000 0.500 0.000
0.500 0.500 0.733
0.500 0.500 0.267
0.000 0.000 0.000
```

# 6
VASP calculation (PBE) on NdY2AlC after structural relaxation.

Properties
Mass density   4.890 g cm⁻³
Magnetization   0.0 Bohr magnetons per cell
Energy of formation from the pure elements   -0.332 eV per atom
Crystal system   tetragonal
E   -6.464 eV per atom

POSCAR file:
```
NdY2AlC
1.0
5.098 0.000 0.000
0.000 4.904 0.000
0.000 0.000 4.904
Y Nd Al C
2 1 1 1
direct
0.000 0.500 0.000
0.000 0.000 0.500
0.500 0.000 0.000
0.500 0.500 0.500
0.000 0.000 0.000
```

# 7
VASP calculation (PBE) on Nd2YAlC after structural relaxation.

Properties
Mass density   5.425 g cm⁻³
Magnetization   0.0 Bohr magnetons per cell
Energy of formation from the pure elements   -0.255 eV per atom
Crystal system   tetragonal
E   -6.048 eV per atom

POSCAR file:
```
Nd2YAlC
1.0
-4.093 -1.621 -2.153
0.859 -4.663 1.877
-2.670 1.190 4.179
Y Nd C Al
1 2 1 1
direct
0.500 0.000 0.000
0.000 0.000 0.500
0.000 0.500 0.000
0.000 0.000 0.000
0.500 0.500 0.500
```

# 8
VASP calculation (PBE) on Al4Ni12C after structural relaxation.

Properties
Mass density   7.238 g cm⁻³
Magnetization   0.5 Bohr magnetons per cell
Energy of formation from the pure elements   -0.370 eV per atom
Crystal system   tetragonal
E   -5.874 eV per atom

POSCAR file:
```
Al4Ni12C
1.0
3.670 0.000 0.000
0.000 3.670 0.000
0.000 0.000 14.041
Ni Al C
12 4 1
direct
0.500 0.000 0.500
0.500 0.500 0.133
0.500 0.500 0.867
0.000 0.500 0.743
0.500 0.500 0.377
0.500 0.000 0.257
0.500 0.000 0.000
0.500 0.500 0.623
0.500 0.000 0.743
0.000 0.500 0.500
0.000 0.500 0.257
0.000 0.500 0.000
0.000 0.000 0.380
0.000 0.000 0.140
0.000 0.000 0.860
0.000 0.000 0.620
0.500 0.500 0.000
```